Compound: Si3NiPd
Source: Alexandria via LeMat-Bulk
Functional: meta-GGA SCAN
Structure: single point on PBEsol structure

## Properties
Theoretical density in g/cm3: 4.3
Calculated volume in Å³/cell: 95.3
DOS(E_F) in states/eV per cell: 4.483
Formation energy (no corrections) in kcal/mol of atoms: 25.3

a b c (Å): 4.568 4.568 4.568
angles (deg): 90.00 90.00 90.00
Space group Pm-3m (No. 221)
Unique sites:
Si (0.000, 0.000, 0.500) [3 per cell]
Ni (0.500, 0.500, 0.500) [1 per cell]
Pd (0.000, 0.000, 0.000) [1 per cell]